A relaxed AcLa6Ag crystal. Source: Alexandria, functional PBE.

a = 6.238 Å, b = 6.869 Å, c = 6.869 Å
α = 105.04°, β = 94.11°, γ = 94.11°
Sites, in units of the cell vectors:
La: 0.237 0.363 0.363
La: 0.763 0.550 0.135
La: 0.763 0.637 0.637
La: 0.763 0.135 0.550
La: 0.237 0.865 0.450
La: 0.237 0.450 0.865
Ag: 0.000 0.000 0.000
Ac: 0.500 0.000 0.000

As for the calculated volume: 35.29 Å³/atom. As for the total magnetization: 0.0 μB per cell. Its total energy is -4.55 eV/atom. The calculation puts the formation energy at 0.02 eV per atom.